<P>
La2CoRe | PBE | optimized geometry

Cell lengths 6.2053, 6.2053, 6.2053 Å; angles 104.09, 104.09, 120.87 degrees
With the nearest neighbours (Å) after each atom.
Fractional coordinates of all 8 atoms:
La: 0.1013 0.6250 0.9763  2 Co 2.69, 2 Re 2.93
La: 0.3750 0.3513 0.4763  2 Co 2.69, 2 Re 2.93
La: 0.6487 0.1250 0.0237  2 Co 2.69, 2 Re 2.93
La: 0.8750 0.8987 0.5237  2 Co 2.69, 2 Re 2.93
Co: 0.0000 0.0000 0.0000  4 La 2.69
Co: 0.7500 0.2500 0.5000  4 La 2.69
Re: 0.2500 0.7500 0.5000  4 La 2.93, 2 Co 3.06
Re: 0.5000 0.5000 0.0000  4 La 2.93, 2 Co 3.06

Summary:
symmetry: I-42d


<Q>
La2CoRe | PBE | optimized geometry

Cell lengths 7.7965, 7.7965, 7.7965 Å; angles 30.62, 30.62, 30.62 degrees
With the nearest neighbours (Å) after each atom.
Fractional coordinates of all 4 atoms:
La: 0.0000 0.0000 0.0000  3 Re 3.02, 3 Co 3.20
La: 0.1791 0.1791 0.1791  3 Co 3.01, 3 Re 3.19
Co: 0.7626 0.7626 0.7626  3 Re 2.39
Re: 0.4168 0.4168 0.4168  3 Co 2.39

Summary:
symmetry: R3m


What should be chosen as the least stable of them? Choose <P>.


<P>
LaCo2Re | PBE | optimized geometry

Cell lengths 4.5782, 4.5782, 4.5782 Å; angles 60.00, 60.00, 60.00 degrees
With the nearest neighbours (Å) after each atom.
Fractional coordinates of all 4 atoms:
La: 0.0000 0.0000 0.0000  8 Co 2.80
Co: 0.2500 0.2500 0.2500  4 La 2.80, 4 Re 2.80
Co: 0.7500 0.7500 0.7500  4 La 2.80, 4 Re 2.80
Re: 0.5000 0.5000 0.5000  8 Co 2.80

Summary:
symmetry: Fm-3m


<Q>
LaCo2Re | PBE | optimized geometry

Cell lengths 5.6488, 5.6488, 5.6488 Å; angles 42.88, 42.88, 42.88 degrees
With the nearest neighbours (Å) after each atom.
Fractional coordinates of all 4 atoms:
La: 0.0000 0.0000 0.0000  8 Co 2.97-3.21
Co: 0.1936 0.1936 0.1936  3 Re 2.42, 3 Co 2.52
Co: 0.8064 0.8064 0.8064  3 Re 2.42, 3 Co 2.52
Re: 0.5000 0.5000 0.5000  6 Co 2.42

Summary:
symmetry: R-3m


<R>
LaCo2Re | PBE | optimized geometry

Cell lengths 4.7702, 2.7949, 4.8583 Å; angles 90.00, 90.13, 90.00 degrees
With the nearest neighbours (Å) after each atom.
Fractional coordinates of all 4 atoms:
La: 0.0000 0.0000 0.0000  2 Co 2.43
Co: 0.0000 0.0000 0.5000  2 La 2.43
Co: 0.5000 0.5000 0.0000  2 Re 2.43
Re: 0.5000 0.5000 0.5000  2 Co 2.43

Summary:
symmetry: P2/m


What should be chosen as the least stable of them? Choose <R>.